VASP calculation (GGA-PBE) on crystalline ZrTa2Te at its relaxed geometry.

Lattice parameters (Å, degrees): 4.8455 4.8455 3.5188 90.00 90.00 103.86
Atoms (fractional coordinates):
Ta 0.0000 0.0000 0.0000
Ta 0.5000 0.5000 0.0000
Te 0.5000 0.0000 0.5000
Zr 0.0000 0.5000 0.5000

V   20.05 Å³/atom
Calculated total energy   -8.74 eV/atom
Total magnetization   0.00 μB per formula unit



VASP calculation (GGA-PBE) on crystalline ZrTa2Te at its relaxed geometry.

Lattice parameters (Å, degrees): 3.7041 4.5596 4.7189 90.00 90.00 90.00
Atoms (fractional coordinates):
Ta 0.0000 0.0000 0.0000
Ta 0.5000 0.5000 0.0000
Te 0.5000 0.0000 0.5000
Zr 0.0000 0.5000 0.5000

V   19.92 Å³/atom
Calculated total energy   -8.84 eV/atom
Total magnetization   0.00 μB per formula unit



VASP calculation (GGA-PBE) on crystalline ZrTa4Te at its relaxed geometry.

Lattice parameters (Å, degrees): 5.5797 5.5797 5.5797 60.00 60.00 60.00
Atoms (fractional coordinates):
Zr 0.0000 0.0000 0.0000
Ta 0.8785 0.3738 0.3738
Ta 0.3738 0.3738 0.8785
Ta 0.3738 0.8785 0.3738
Ta 0.3738 0.3738 0.3738
Te 0.7500 0.7500 0.7500

V   20.47 Å³/atom
Calculated total energy   -9.58 eV/atom
Total magnetization   0.00 μB per formula unit



VASP calculation (GGA-PBE) on crystalline ZrTa2Te at its relaxed geometry.

Lattice parameters (Å, degrees): 5.6143 5.6143 5.6143 137.36 137.36 61.88
Atoms (fractional coordinates):
Ta 0.0000 0.0000 0.0000
Ta 0.5000 0.5000 0.0000
Te 0.2500 0.7500 0.5000
Zr 0.7500 0.2500 0.5000

V   20.06 Å³/atom
Calculated total energy   -8.77 eV/atom
Total magnetization   0.00 μB per formula unit



VASP calculation (GGA-PBE) on crystalline ZrTa2Te at its relaxed geometry.

Lattice parameters (Å, degrees): 5.0155 3.2141 5.1534 88.67 90.00 90.00
Atoms (fractional coordinates):
Ta 0.0000 0.0597 0.9828
Ta 0.0000 0.4403 0.5172
Te 0.5000 0.2500 0.2500
Zr 0.5000 0.7500 0.7500

V   20.76 Å³/atom
Calculated total energy   -8.73 eV/atom
Total magnetization   0.00 μB per formula unit



VASP calculation (GGA-PBE) on crystalline ZrTa2Te at its relaxed geometry.

Lattice parameters (Å, degrees): 3.5928 3.5928 6.3296 90.00 90.00 90.00
Atoms (fractional coordinates):
Ta 0.0000 0.0000 0.0154
Ta 0.5000 0.5000 0.2303
Te 0.0000 0.0000 0.4977
Zr 0.5000 0.5000 0.7565

V   20.43 Å³/atom
Calculated total energy   -8.94 eV/atom
Total magnetization   0.00 μB per formula unit



VASP calculation (GGA-PBE) on crystalline Th3Ta at its relaxed geometry.

Lattice parameters (Å, degrees): 6.7511 6.7511 5.7550 90.00 90.00 120.00
Atoms (fractional coordinates):
Th 0.1751 0.3503 0.2500
Th 0.6497 0.8249 0.2500
Th 0.1751 0.8249 0.2500
Th 0.8249 0.6497 0.7500
Th 0.3503 0.1751 0.7500
Th 0.8249 0.1751 0.7500
Ta 0.3333 0.6667 0.7500
Ta 0.6667 0.3333 0.2500

V   28.39 Å³/atom
Formation energy   117 kJ/mol of formula units
Total magnetization   0.00 μB per formula unit



VASP calculation (GGA-PBE) on crystalline ThTa2 at its relaxed geometry.

Lattice parameters (Å, degrees): 5.7870 5.7870 5.7870 60.00 60.00 60.00
Atoms (fractional coordinates):
Th 0.0000 0.0000 0.0000
Th 0.2500 0.2500 0.2500
Ta 0.1250 0.6250 0.6250
Ta 0.6250 0.1250 0.6250
Ta 0.6250 0.6250 0.6250
Ta 0.6250 0.6250 0.1250

V   22.84 Å³/atom
Formation energy   25 kJ/mol of formula units
Total magnetization   0.00 μB per formula unit



VASP calculation (GGA-PBE) on crystalline Th4Ta at its relaxed geometry.

Lattice parameters (Å, degrees): 5.5970 5.5970 5.5970 90.00 90.00 90.00
Atoms (fractional coordinates):
Th 0.0000 0.0000 0.0000
Th 0.5000 0.0000 0.5000
Th 0.0000 0.5000 0.5000
Th 0.5000 0.5000 0.0000
Ta 0.5000 0.5000 0.5000

V   35.07 Å³/atom
Formation energy   338 kJ/mol of formula units
Total magnetization   0.00 μB per formula unit



VASP calculation (GGA-PBE) on crystalline ThTa4 at its relaxed geometry.

Lattice parameters (Å, degrees): 4.9814 4.9814 4.9814 90.00 90.00 90.00
Atoms (fractional coordinates):
Th 0.5000 0.5000 0.5000
Ta 0.0000 0.0000 0.0000
Ta 0.5000 0.0000 0.5000
Ta 0.0000 0.5000 0.5000
Ta 0.5000 0.5000 0.0000

V   24.72 Å³/atom
Formation energy   1198 kJ/mol of formula units
Total magnetization   0.00 μB per formula unit



VASP calculation (GGA-PBE) on crystalline ThTaTi2 at its relaxed geometry.

Lattice parameters (Å, degrees): 4.8511 4.8511 4.8511 60.00 60.00 60.00
Atoms (fractional coordinates):
Ti 0.2500 0.2500 0.2500
Ti 0.7500 0.7500 0.7500
Th 0.0000 0.0000 0.0000
Ta 0.5000 0.5000 0.5000

V   20.18 Å³/atom
Formation energy   74 kJ/mol of formula units
Total magnetization   0.00 μB per formula unit
Polymorph energy (0 for the lowest one)   58 meV/atom



VASP calculation (GGA-PBE) on crystalline ThTaTi2 at its relaxed geometry.

Lattice parameters (Å, degrees): 3.4567 3.4567 7.0325 90.00 90.00 90.00
Atoms (fractional coordinates):
Ti 0.0000 0.0000 0.7993
Ti 0.0000 0.0000 0.2007
Th 0.5000 0.5000 0.5000
Ta 0.5000 0.5000 0.0000

V   21.01 Å³/atom
Formation energy   51 kJ/mol of formula units
Total magnetization   0.00 μB per formula unit
Polymorph energy (0 for the lowest one)   0 meV/atom



VASP calculation (GGA-PBE) on crystalline ThTaTi at its relaxed geometry.

Lattice parameters (Å, degrees): 3.3815 3.1406 14.6620 90.00 90.00 122.57
Atoms (fractional coordinates):
Ti 0.6459 0.2918 0.0000
Ti 0.2675 0.5350 0.5000
Ta 0.6699 0.3397 0.3562
Ta 0.6699 0.3397 0.6438
Th 0.2068 0.4135 0.8227
Th 0.2068 0.4135 0.1773

V   21.87 Å³/atom
Formation energy   101 kJ/mol of formula units
Total magnetization   0.00 μB per formula unit



VASP calculation (GGA-PBE) on crystalline Tm2ThTa at its relaxed geometry.

Lattice parameters (Å, degrees): 3.2789 3.2789 11.7698 81.99 81.99 60.00
Each line ends with the local moment (μB).
Atoms (fractional coordinates):
Tm 0.0836 0.0836 0.7492  0.07
Tm 0.9164 0.9164 0.2508  0.07
Th 0.5000 0.5000 0.5000  0.00
Ta 0.0000 0.0000 0.0000  0.25

V   27.04 Å³/atom
Formation energy   228 kJ/mol of formula units
Total magnetization   0.47 μB per formula unit



VASP calculation (GGA-PBE) on crystalline Y2ThTa at its relaxed geometry.

Lattice parameters (Å, degrees): 3.3147 3.3147 11.9076 82.00 82.00 60.00
Each line ends with the local moment (μB).
Atoms (fractional coordinates):
Y 0.0834 0.0834 0.7499  0.05
Y 0.9166 0.9166 0.2501  0.05
Th 0.5000 0.5000 0.5000  0.01
Ta 0.0000 0.0000 0.0000  0.30

V   27.96 Å³/atom
Formation energy   246 kJ/mol of formula units
Total magnetization   0.57 μB per formula unit



VASP calculation (GGA-PBE) on crystalline ThTaZn4 at its relaxed geometry.

Lattice parameters (Å, degrees): 5.3470 5.3470 5.3470 60.00 60.00 60.00
Each line ends with the local moment (μB).
Atoms (fractional coordinates):
Zn 0.6269 0.6269 0.1194  0.00
Zn 0.6269 0.1194 0.6269  0.00
Zn 0.6269 0.6269 0.6269  0.00
Zn 0.1194 0.6269 0.6269  0.00
Th 0.2500 0.2500 0.2500  0.27
Ta 0.0000 0.0000 0.0000  0.77

V   18.02 Å³/atom
Formation energy   -26 kJ/mol of formula units
Total magnetization   1.58 μB per formula unit



VASP calculation (GGA-PBE) on crystalline ThTaZn at its relaxed geometry.

Lattice parameters (Å, degrees): 4.0769 4.0769 8.0302 90.00 90.00 90.00
Atoms (fractional coordinates):
Zn 0.5000 0.0000 0.7359
Zn 0.0000 0.5000 0.2641
Th 0.5000 0.0000 0.1455
Th 0.0000 0.5000 0.8545
Ta 0.5000 0.5000 0.5000
Ta 0.0000 0.0000 0.5000

V   22.24 Å³/atom
Formation energy   12 kJ/mol of formula units
Total magnetization   0.00 μB per formula unit



VASP calculation (GGA-PBE) on crystalline ThZrTa at its relaxed geometry.

Lattice parameters (Å, degrees): 3.4218 3.4218 12.4485 90.00 90.00 90.00
Atoms (fractional coordinates):
Th 0.0000 0.5000 0.6052
Th 0.5000 0.0000 0.3948
Zr 0.5000 0.0000 0.7956
Zr 0.0000 0.5000 0.2044
Ta 0.0000 0.5000 0.9427
Ta 0.5000 0.0000 0.0573

V   24.29 Å³/atom
Formation energy   26 kJ/mol of formula units
Total magnetization   0.00 μB per formula unit



VASP calculation (GGA-PBE) on crystalline ThZr2Ta at its relaxed geometry.

Lattice parameters (Å, degrees): 3.2285 3.2285 10.7991 81.40 81.40 60.00
Atoms (fractional coordinates):
Zr 0.2584 0.2584 0.2248
Zr 0.7416 0.7416 0.7752
Th 0.5000 0.5000 0.5000
Ta 0.0000 0.0000 0.0000

V   24.01 Å³/atom
Formation energy   101 kJ/mol of formula units
Total magnetization   0.00 μB per formula unit
Polymorph energy (0 for the lowest one)   132 meV/atom



VASP calculation (GGA-PBE) on crystalline ThZrTa4 at its relaxed geometry.

Lattice parameters (Å, degrees): 5.6756 5.6756 5.6756 60.00 60.00 60.00
Atoms (fractional coordinates):
Zr 0.0000 0.0000 0.0000
Th 0.2500 0.2500 0.2500
Ta 0.6250 0.6250 0.1251
Ta 0.6250 0.1251 0.6250
Ta 0.6250 0.6250 0.6250
Ta 0.1251 0.6250 0.6250

V   21.55 Å³/atom
Formation energy   39 kJ/mol of formula units
Total magnetization   0.00 μB per formula unit



VASP calculation (GGA-PBE) on crystalline ThZr2Ta at its relaxed geometry.

Lattice parameters (Å, degrees): 3.4950 3.4950 7.8528 90.00 90.00 90.00
Atoms (fractional coordinates):
Zr 0.0000 0.0000 0.7924
Zr 0.0000 0.0000 0.2076
Th 0.5000 0.5000 0.5000
Ta 0.5000 0.5000 0.0000

V   23.98 Å³/atom
Formation energy   50 kJ/mol of formula units
Total magnetization   0.00 μB per formula unit
Polymorph energy (0 for the lowest one)   0 meV/atom



VASP calculation (GGA-PBE) on crystalline Ta3Ti at its relaxed geometry.

Lattice parameters (Å, degrees): 3.2819 4.6715 4.6718 90.00 90.00 90.00
Atoms (fractional coordinates):
Ti 0.0000 0.5000 0.4169
Ta 0.0000 0.0000 0.9164
Ta 0.5000 0.0000 0.4163
Ta 0.5000 0.5000 0.9170

V   17.91 Å³/atom
Formation energy   18 kJ/mol of formula units
Total magnetization   0.00 μB per formula unit
Polymorph energy (0 for the lowest one)   0 meV/atom



VASP calculation (GGA-PBE) on crystalline Ta5Ti at its relaxed geometry.

Lattice parameters (Å, degrees): 7.4011 5.7387 8.5197 70.42 104.85 140.58
Atoms (fractional coordinates):
Ta 0.7499 0.3750 0.2505
Ta 0.2501 0.6250 0.7495
Ta 0.7494 0.3687 0.9179
Ta 0.2504 0.6193 0.4163
Ta 0.2506 0.6313 0.0821
Ta 0.7496 0.3807 0.5837
Ta 0.7506 0.8696 0.9156
Ta 0.2500 0.1231 0.4187
Ta 0.2494 0.1304 0.0844
Ta 0.7500 0.8769 0.5813
Ti 0.7513 0.8774 0.2480
Ti 0.2487 0.1226 0.7520

V   18.04 Å³/atom
Formation energy   18 kJ/mol of formula units
Total magnetization   0.00 μB per formula unit
Polymorph energy (0 for the lowest one)   0 meV/atom



VASP calculation (GGA-PBE) on crystalline Ta3Ti at its relaxed geometry.

Lattice parameters (Å, degrees): 4.6648 4.6648 4.6648 60.00 60.00 60.00
Each line ends with the local moment (μB).
Atoms (fractional coordinates):
Ti 0.5000 0.5000 0.5000  0.21
Ta 0.0000 0.0000 0.0000  -0.02
Ta 0.7500 0.7500 0.7500  0.06
Ta 0.2500 0.2500 0.2500  0.06

V   17.94 Å³/atom
Formation energy   20 kJ/mol of formula units
Total magnetization   0.44 μB per formula unit
Polymorph energy (0 for the lowest one)   7 meV/atom



VASP calculation (GGA-PBE) on crystalline TaTi3 at its relaxed geometry.

Lattice parameters (Å, degrees): 2.8256 5.2478 5.5936 117.98 104.63 90.00
Atoms (fractional coordinates):
Ti 0.2493 0.5557 0.4987
Ti 0.5000 0.5248 0.0000
Ti 0.7507 0.0570 0.5013
Ta 0.0000 0.0292 0.0000

V   17.55 Å³/atom
Formation energy   26 kJ/mol of formula units
Total magnetization   0.00 μB per formula unit



VASP calculation (GGA-PBE) on crystalline Ta3Ti at its relaxed geometry.

Lattice parameters (Å, degrees): 3.9326 3.9326 5.4589 111.11 111.11 90.00
Atoms (fractional coordinates):
Ti 0.0000 0.0000 0.0000
Ta 0.7500 0.2500 0.5000
Ta 0.2500 0.7500 0.5000
Ta 0.5000 0.5000 0.0000

V   18.16 Å³/atom
Formation energy   59 kJ/mol of formula units
Total magnetization   0.00 μB per formula unit
Polymorph energy (0 for the lowest one)   107 meV/atom



VASP calculation (GGA-PBE) on crystalline Ta4Ti at its relaxed geometry.

Lattice parameters (Å, degrees): 5.4745 7.1911 5.4744 139.52 129.34 40.48
Atoms (fractional coordinates):
Ta 0.2020 0.3987 0.7978
Ta 0.7980 0.6013 0.2022
Ta 0.4031 0.7985 0.5969
Ta 0.5969 0.2015 0.4031
Ti 0.0000 0.0000 0.0000

V   18.01 Å³/atom
Formation energy   19 kJ/mol of formula units
Total magnetization   0.00 μB per formula unit
Polymorph energy (0 for the lowest one)   0 meV/atom



VASP calculation (GGA-PBE) on crystalline Ta6Ti5 at its relaxed geometry.

Lattice parameters (Å, degrees): 4.6262 5.3877 8.8890 90.01 90.00 64.79
Atoms (fractional coordinates):
Ta 0.5001 0.0000 0.7204
Ta 0.4999 0.0000 0.2796
Ta 0.8418 0.3170 0.7831
Ta 0.8416 0.3168 0.2168
Ta 0.1582 0.6830 0.2169
Ta 0.1584 0.6832 0.7832
Ti 0.0000 0.0000 0.5000
Ti 0.6414 0.7202 0.0000
Ti 0.3586 0.2798 0.0000
Ti 0.3068 0.3857 0.5000
Ti 0.6932 0.6143 0.5000

V   18.22 Å³/atom
Formation energy   226 kJ/mol of formula units
Total magnetization   0.00 μB per formula unit